The following is a GGA-PBE calculation of HoPaCrN3 after structural relaxation, from Alexandria via LeMat-Bulk.

a b c (Å): 3.2632 7.2656 7.2085
angles (deg): 98.67 90.00 90.00
Closest atoms and distances in Å follow each position.
Element x y z (fractional)
Ho 0.7500 0.8386 0.8084  7 N 2.40-2.57
Ho 0.2500 0.1614 0.1916  7 N 2.40-2.57
Pa 0.2500 0.6516 0.1861  5 N 2.26-2.40
Pa 0.7500 0.3484 0.8139  5 N 2.26-2.40
Cr 0.2500 0.0904 0.5797  4 N 1.97-2.05
Cr 0.7500 0.9096 0.4203  4 N 1.97-2.05
N 0.2500 0.8172 0.5518  3 Cr 1.97-2.05
N 0.7500 0.8850 0.1447  1 Cr 1.97
N 0.7500 0.4166 0.1308  3 Pa 2.26-2.35
N 0.7500 0.1828 0.4482  3 Cr 1.97-2.05
N 0.2500 0.5834 0.8692  3 Pa 2.26-2.35
N 0.2500 0.1150 0.8553  1 Cr 1.97

Output
E_tot ... -9.28 eV per atom
Space group ... P2_1/m
Spin magnetization ... 0.0 μB/f.u.



The following is a GGA-PBE calculation of Li4Ho3PuSe8 after structural relaxation, from Alexandria via LeMat-Bulk.

a b c (Å): 8.1512 8.0153 8.1504
angles (deg): 120.59 120.00 90.00
Closest atoms and distances in Å follow each position.
Element x y z (fractional)
Li 0.5000 0.0000 0.0000  6 Se 2.82
Li 0.5000 0.0000 0.5000  6 Se 2.85-2.86
Li 0.0000 0.0000 0.0000  6 Se 2.85-2.86
Li 0.0000 0.0000 0.5000  6 Se 2.85-2.86
Ho 0.5000 0.5000 0.0000  6 Se 2.86-2.87
Ho 0.5000 0.5000 0.5000  6 Se 2.86-2.87
Ho 0.0000 0.5000 0.5000  6 Se 2.86-2.87
Pu 0.0000 0.5000 0.0000  6 Se 2.90
Se 0.2535 0.7534 0.0003  3 Li 2.82-2.86, 2 Ho 2.86, 1 Pu 2.90
Se 0.2534 0.7534 0.5069  3 Li 2.82-2.86, 2 Ho 2.86, 1 Pu 2.90
Se 0.2491 0.2477 0.4982  3 Li 2.85, 3 Ho 2.87
Se 0.7468 0.7534 0.0003  3 Li 2.82-2.86, 2 Ho 2.86, 1 Pu 2.90
Se 0.2532 0.2466 0.9997  3 Li 2.82-2.86, 2 Ho 2.86, 1 Pu 2.90
Se 0.7509 0.7523 0.5018  3 Li 2.85, 3 Ho 2.87
Se 0.7466 0.2466 0.4931  3 Li 2.82-2.86, 2 Ho 2.86, 1 Pu 2.90
Se 0.7465 0.2466 0.9997  3 Li 2.82-2.86, 2 Ho 2.86, 1 Pu 2.90

Output
E_tot ... -5.59 eV per atom
Space group ... R-3m
Spin magnetization ... 5.0 μB/f.u.



The following is a GGA-PBE calculation of Li4AlTe after structural relaxation, from Alexandria via LeMat-Bulk.

a b c (Å): 5.4076 5.4076 5.4076
angles (deg): 60.00 60.00 60.00
Closest atoms and distances in Å follow each position.
Element x y z (fractional)
Li 0.8783 0.3739 0.3739  6 Li 2.68-2.73
Li 0.3739 0.3739 0.8783  6 Li 2.68-2.73
Li 0.3739 0.8783 0.3739  6 Li 2.68-2.73
Li 0.3739 0.3739 0.3739  6 Li 2.68-2.73
Al 0.0000 0.0000 0.0000  12 Li 3.17, 4 Te 3.31
Te 0.7500 0.7500 0.7500  12 Li 3.17, 4 Al 3.31

Output
E_tot ... -2.51 eV per atom
Space group ... F-43m
Spin magnetization ... 0.0 μB/f.u.



The following is a GGA-PBE calculation of RbHg3Au after structural relaxation, from Alexandria via LeMat-Bulk.

a b c (Å): 6.5388 7.4209 7.4205
angles (deg): 120.01 90.00 90.00
Closest atoms and distances in Å follow each position.
Element x y z (fractional)
Rb 0.7499 0.6667 0.3335  12 Hg 3.72-3.75
Rb 0.2501 0.3333 0.6666  12 Hg 3.72-3.75
Hg 0.7500 0.6198 0.8100  2 Au 2.94, 2 Hg 3.19
Hg 0.2500 0.8099 0.6198  2 Au 2.94, 2 Hg 3.19
Hg 0.2500 0.3802 0.1900  2 Au 2.94, 2 Hg 3.19
Hg 0.7500 0.1900 0.3802  2 Au 2.94, 2 Hg 3.19
Hg 0.2500 0.8099 0.1900  2 Au 2.94, 2 Hg 3.19
Hg 0.7500 0.1901 0.8100  2 Au 2.94, 2 Hg 3.19
Au 0.0000 0.0000 0.0000  6 Hg 2.94, 2 Au 3.27
Au 0.5000 0.0000 0.0000  6 Hg 2.94, 2 Au 3.27

Output
Space group ... P6_3/mmc
Spin magnetization ... 0.0 μB/f.u.
ΔH_f (0 K) ... -16 kJ per mole of atoms



The following is a GGA-PBE calculation of Zr4SbPt after structural relaxation, from Alexandria via LeMat-Bulk.

a b c (Å): 5.6658 5.6658 5.6658
angles (deg): 60.00 60.00 60.00
Closest atoms and distances in Å follow each position.
Element x y z (fractional)
Zr 0.8756 0.3748 0.3748  6 Zr 2.83-2.84
Zr 0.3748 0.3748 0.8756  6 Zr 2.83-2.84
Zr 0.3748 0.8756 0.3748  6 Zr 2.83-2.84
Zr 0.3748 0.3748 0.3748  6 Zr 2.83-2.84
Sb 0.0000 0.0000 0.0000  12 Zr 3.32, 4 Pt 3.47
Pt 0.7500 0.7500 0.7500  12 Zr 3.32, 4 Sb 3.47

Output
E_tot ... -7.35 eV per atom
Space group ... F-43m
Spin magnetization ... 0.0 μB/f.u.



The following is a GGA-PBE calculation of LaMnPt3 after structural relaxation, from Alexandria via LeMat-Bulk.

a b c (Å): 4.7591 4.7591 4.7591
angles (deg): 90.00 90.00 90.00
Closest atoms and distances in Å follow each position.
Element x y z (fractional)
Mn 0.0000 0.0000 0.0000  6 Pt 2.38
Pt 0.0000 0.5000 0.0000  2 Mn 2.38
Pt 0.0000 0.0000 0.5000  2 Mn 2.38
Pt 0.5000 0.0000 0.0000  2 Mn 2.38
La 0.5000 0.5000 0.5000  12 Pt 3.37

Output
Space group ... Pm-3m
Spin magnetization ... 3.9 μB/f.u.
ΔH_f (0 K) ... -25 kJ per mole of atoms



The following is a GGA-PBE calculation of AlPd12Pb3 after structural relaxation, from Alexandria via LeMat-Bulk.

a b c (Å): 4.0682 4.0682 16.1948
angles (deg): 90.00 90.00 90.00
Closest atoms and distances in Å follow each position.
Element x y z (fractional)
Al 0.0000 0.0000 0.0000  12 Pd 2.73-2.88
Pd 0.5000 0.5000 0.0000  8 Pd 2.73, 4 Al 2.88
Pd 0.5000 0.5000 0.2434  4 Pb 2.88, 8 Pd 2.90-2.94
Pd 0.5000 0.5000 0.5000  4 Pb 2.88, 8 Pd 2.91
Pd 0.5000 0.5000 0.7566  4 Pb 2.88, 8 Pd 2.90-2.94
Pd 0.5000 0.0000 0.1126  2 Al 2.73, 8 Pd 2.73-2.94, 2 Pb 2.92
Pd 0.5000 0.0000 0.3713  8 Pd 2.88-2.91, 4 Pb 2.91-2.92
Pd 0.5000 0.0000 0.6287  8 Pd 2.88-2.91, 4 Pb 2.91-2.92
Pd 0.5000 0.0000 0.8874  2 Al 2.73, 8 Pd 2.73-2.94, 2 Pb 2.92
Pd 0.0000 0.5000 0.1126  8 Pd 2.73-2.94, 2 Al 2.73, 2 Pb 2.92
Pd 0.0000 0.5000 0.3713  8 Pd 2.88-2.91, 4 Pb 2.91-2.92
Pd 0.0000 0.5000 0.6287  8 Pd 2.88-2.91, 4 Pb 2.91-2.92
Pd 0.0000 0.5000 0.8874  8 Pd 2.73-2.94, 2 Al 2.73, 2 Pb 2.92
Pb 0.0000 0.0000 0.2419  12 Pd 2.88-2.92
Pb 0.0000 0.0000 0.5000  12 Pd 2.88-2.91
Pb 0.0000 0.0000 0.7581  12 Pd 2.88-2.92

Output
Space group ... P4/mmm
Spin magnetization ... 0.0 μB/f.u.
ΔH_f (0 K) ... -35 kJ per mole of atoms



The following is a GGA-PBE calculation of ReC2 after structural relaxation, from Alexandria via LeMat-Bulk.

a b c (Å): 2.9379 2.9379 12.9579
angles (deg): 90.00 90.00 120.00
Closest atoms and distances in Å follow each position.
Element x y z (fractional)
Re 0.0000 0.0000 0.5000  6 C 2.16
Re 0.6667 0.3333 0.8510  4 C 1.88-2.10
Re 0.3333 0.6667 0.1490  4 C 1.88-2.10
C 0.0000 0.0000 0.9462  1 C 1.39
C 0.0000 0.0000 0.0538  1 C 1.39
C 0.6667 0.3333 0.7057  1 C 1.33
C 0.3333 0.6667 0.2943  1 C 1.33
C 0.6667 0.3333 0.6032  1 C 1.33
C 0.3333 0.6667 0.3968  1 C 1.33

Output
Space group ... P-3m1
Spin magnetization ... 0.0 μB/f.u.
ΔH_f (0 K) ... 75 kJ per mole of atoms



The following is a GGA-PBE calculation of La6Sn3H2 after structural relaxation, from Alexandria via LeMat-Bulk.

a b c (Å): 4.9242 4.9242 13.6304
angles (deg): 100.41 100.41 90.00
Closest atoms and distances in Å follow each position.
Element x y z (fractional)
La 0.0825 0.5825 0.1649  2 H 2.53
La 0.5825 0.0825 0.1649  2 H 2.53
La 0.9175 0.4175 0.8351  2 H 2.53
La 0.4175 0.9175 0.8351  2 H 2.53
La 0.7009 0.7009 0.4018  1 H 2.56
La 0.2991 0.2991 0.5982  1 H 2.56
Sn 0.0000 0.0000 0.0000  8 La 3.28
Sn 0.8265 0.8265 0.6531  9 La 3.31-3.56
Sn 0.1735 0.1735 0.3469  9 La 3.31-3.56
H 0.3962 0.3962 0.7925  5 La 2.53-2.56
H 0.6038 0.6038 0.2075  5 La 2.53-2.56

Output
E_tot ... -4.98 eV per atom
Space group ... I4/mmm
Spin magnetization ... 0.0 μB/f.u.



The following is a GGA-PBE calculation of AlCo3Au after structural relaxation, from Alexandria via LeMat-Bulk.

a b c (Å): 4.6583 4.6583 4.6583
angles (deg): 90.00 90.00 90.00
Closest atoms and distances in Å follow each position.
Element x y z (fractional)
Co 0.0000 0.5000 0.0000  2 Au 2.33
Co 0.0000 0.0000 0.5000  2 Au 2.33
Co 0.5000 0.0000 0.0000  2 Au 2.33
Au 0.0000 0.0000 0.0000  6 Co 2.33
Al 0.5000 0.5000 0.5000  12 Co 3.29

Output
Space group ... Pm-3m
Spin magnetization ... 5.7 μB/f.u.
ΔH_f (0 K) ... 138 kJ per mole of atoms



The following is a GGA-PBE calculation of CaCd2Pb2 after structural relaxation, from Alexandria via LeMat-Bulk.

a b c (Å): 4.9981 3.5705 8.4972
angles (deg): 77.83 72.52 90.08
Closest atoms and distances in Å follow each position.
Element x y z (fractional)
Ca 0.0000 0.0000 0.0000  8 Pb 3.48-3.50, 2 Ca 3.57, 4 Cd 3.88
Cd 0.7807 0.2819 0.4359  4 Pb 3.07-3.32, 4 Cd 3.21-3.25
Cd 0.2193 0.7181 0.5641  4 Pb 3.07-3.32, 4 Cd 3.21-3.25
Pb 0.6050 0.6032 0.7899  4 Cd 3.07-3.32, 1 Pb 3.32
Pb 0.3950 0.3968 0.2101  4 Cd 3.07-3.32, 1 Pb 3.32

Output
Space group ... P-1
Spin magnetization ... 0.0 μB/f.u.
ΔH_f (0 K) ... -16 kJ per mole of atoms



The following is a GGA-PBE calculation of BaSbPt2 after structural relaxation, from Alexandria via LeMat-Bulk.

a b c (Å): 4.4717 5.1710 5.0654
angles (deg): 79.47 90.00 90.00
Closest atoms and distances in Å follow each position.
Element x y z (fractional)
Ba 0.5000 0.8209 0.7533  7 Pt 3.28-3.57
Pt 0.0000 0.9626 0.1972  2 Sb 2.59-2.81, 2 Pt 2.71
Pt 0.5000 0.2603 0.1969  2 Sb 2.63, 2 Pt 2.71
Sb 0.0000 0.4562 0.3526  4 Pt 2.59-2.81

Output
E_tot ... -5.19 eV per atom
Space group ... Pm
Spin magnetization ... 0.0 μB/f.u.